Entry 1:
Material: LuFeSiOs
Method: DFT, PBE-GGA
State: relaxed

## Properties
- Space-group type: F-43m
- Final energy: -30.07 eV for the cell shown

Lattice parameters (Å, degrees): 4.3617 4.3617 4.3617 60.00 60.00 60.00
Closest atoms and distances in Å follow each position.
Atoms (fractional coordinates):
Fe 0.7500 0.7500 0.7500  4 Lu 2.67, 4 Si 2.67
Lu 0.5000 0.5000 0.5000  4 Os 2.67, 4 Fe 2.67
Os 0.2500 0.2500 0.2500  4 Lu 2.67, 4 Si 2.67
Si 0.0000 0.0000 0.0000  4 Fe 2.67, 4 Os 2.67

***

Entry 2:
Material: LuFeSiOs
Method: DFT, PBE-GGA
State: relaxed

## Properties
- Space-group type: F-43m
- Final energy: -28.85 eV for the cell shown

Lattice parameters (Å, degrees): 4.4923 4.4923 4.4923 60.00 60.00 60.00
Closest atoms and distances in Å follow each position.
Atoms (fractional coordinates):
Fe 0.7500 0.7500 0.7500  4 Os 2.75, 4 Si 2.75
Lu 0.2500 0.2500 0.2500  4 Os 2.75, 4 Si 2.75
Os 0.5000 0.5000 0.5000  4 Fe 2.75, 4 Lu 2.75
Si 0.0000 0.0000 0.0000  4 Fe 2.75, 4 Lu 2.75

***

Entry 3:
Material: LuFeSnOs
Method: DFT, PBE-GGA
State: relaxed

## Properties
- Space-group type: F-43m
- Final energy: -28.16 eV for the cell shown

Lattice parameters (Å, degrees): 4.5782 4.5782 4.5782 60.00 60.00 60.00
Closest atoms and distances in Å follow each position.
Atoms (fractional coordinates):
Fe 0.7500 0.7500 0.7500  4 Sn 2.80, 4 Lu 2.80
Lu 0.5000 0.5000 0.5000  4 Fe 2.80, 4 Os 2.80
Os 0.2500 0.2500 0.2500  4 Sn 2.80, 4 Lu 2.80
Sn 0.0000 0.0000 0.0000  4 Fe 2.80, 4 Os 2.80

***

Entry 4:
Material: LuFeSnOs
Method: DFT, PBE-GGA
State: relaxed

## Properties
- Space-group type: F-43m
- Final energy: -27.19 eV for the cell shown

Lattice parameters (Å, degrees): 4.6783 4.6783 4.6783 60.00 60.00 60.00
Closest atoms and distances in Å follow each position.
Atoms (fractional coordinates):
Fe 0.7500 0.7500 0.7500  4 Sn 2.86, 4 Os 2.86
Lu 0.2500 0.2500 0.2500  4 Os 2.86, 4 Sn 2.86
Os 0.5000 0.5000 0.5000  4 Fe 2.86, 4 Lu 2.86
Sn 0.0000 0.0000 0.0000  4 Fe 2.86, 4 Lu 2.86

***

Entry 5:
Material: LuTlFeOs
Method: DFT, PBE-GGA
State: relaxed

## Properties
- Space-group type: F-43m
- Final energy: -24.86 eV for the cell shown

Lattice parameters (Å, degrees): 4.6580 4.6580 4.6580 60.00 60.00 60.00
Closest atoms and distances in Å follow each position.
Atoms (fractional coordinates):
Fe 0.7500 0.7500 0.7500  4 Tl 2.85, 4 Os 2.85
Lu 0.2500 0.2500 0.2500  4 Os 2.85, 4 Tl 2.85
Os 0.5000 0.5000 0.5000  4 Lu 2.85, 4 Fe 2.85
Tl 0.0000 0.0000 0.0000  4 Fe 2.85, 4 Lu 2.85

***

Entry 6:
Material: LuTlFeOs
Method: DFT, PBE-GGA
State: relaxed

## Properties
- Space-group type: F-43m
- Final energy: -24.89 eV for the cell shown

Lattice parameters (Å, degrees): 4.6319 4.6319 4.6319 60.00 60.00 60.00
Closest atoms and distances in Å follow each position.
Atoms (fractional coordinates):
Fe 0.7500 0.7500 0.7500  4 Lu 2.84, 4 Tl 2.84
Lu 0.5000 0.5000 0.5000  4 Os 2.84, 4 Fe 2.84
Os 0.2500 0.2500 0.2500  4 Lu 2.84, 4 Tl 2.84
Tl 0.0000 0.0000 0.0000  4 Fe 2.84, 4 Os 2.84

***

Entry 7:
Material: LuZnFeOs
Method: DFT, PBE-GGA
State: relaxed

## Properties
- Space-group type: F-43m
- Formation energy from the elements: 17.96 kJ per mole of atoms
- Final energy: -24.58 eV for the cell shown

Lattice parameters (Å, degrees): 4.4877 4.4877 4.4877 60.00 60.00 60.00
Closest atoms and distances in Å follow each position.
Atoms (fractional coordinates):
Fe 0.7500 0.7500 0.7500  4 Lu 2.75, 4 Zn 2.75
Lu 0.5000 0.5000 0.5000  4 Fe 2.75, 4 Os 2.75
Os 0.2500 0.2500 0.2500  4 Zn 2.75, 4 Lu 2.75
Zn 0.0000 0.0000 0.0000  4 Os 2.75, 4 Fe 2.75

***

Entry 8:
Material: LuZnFeOs
Method: DFT, PBE-GGA
State: relaxed

## Properties
- Space-group type: F-43m
- Formation energy from the elements: 10.63 kJ per mole of atoms
- Final energy: -24.88 eV for the cell shown

Lattice parameters (Å, degrees): 4.5163 4.5163 4.5163 60.00 60.00 60.00
Closest atoms and distances in Å follow each position.
Atoms (fractional coordinates):
Fe 0.7500 0.7500 0.7500  4 Os 2.77, 4 Zn 2.77
Lu 0.2500 0.2500 0.2500  4 Os 2.77, 4 Zn 2.77
Os 0.5000 0.5000 0.5000  4 Lu 2.77, 4 Fe 2.77
Zn 0.0000 0.0000 0.0000  4 Lu 2.77, 4 Fe 2.77

***

| no. | relative energy among the computed polymorphs (meV/atom) |
| --- | --- |
| 1 | 0 |
| 2 | 304 |
| 3 | 0 |
| 4 | 241 |
| 5 | 7 |
| 6 | 0 |
| 7 | 76 |
| 8 | 0 |